VASP calculation (PBE) on a relaxed structure of Ac2PN.

Cell: 5.0567 5.0567 5.0567 Å, 60.00 60.00 60.00°
Fractional positions:
P  0.5000  0.5000  0.5000
Ac  0.2500  0.2500  0.2500
Ac  0.7500  0.7500  0.7500
N  0.0000  0.0000  0.0000

Values from the calculation:
* total magnetization: 0.0 Bohr magnetons per cell
* energy relative to the elements, uncorrected: -0.582 eV per atom
* DFT total energy: -24.28 eV for the cell shown
* N(E_F): 1.54 states/eV/cell
* space group: Fm-3m
* energy relative to the lowest polymorph listed for this composition: 582 meV/atom
* V: 22.86 Å³ per atom